# Ca2TlSe

A geometry-optimized Ca2TlSe structure (PBE, the Alexandria database).

a = 8.136 Å, b = 8.136 Å, c = 6.929 Å
α = 54.05°, β = 54.05°, γ = 90.00°
Element x y z (fractional)
Tl  0.000  0.000  0.000
Tl  0.750  0.250  0.500
Ca  0.587  0.125  0.250
Ca  0.163  0.625  0.250
Ca  0.375  0.413  0.750
Ca  0.875  0.837  0.750
Se  0.500  0.500  0.000
Se  0.250  0.750  0.500

Output
As for the space group: I-42d. Its density is 4.72 g/cm3. The uncorrected energy comes out at -3.31 eV/atom. The magnetization is 0.00 μB per formula unit. As for the formation energy (no corrections): -3.4 eV/f.u.

# La3CuPt2

A geometry-optimized La3CuPt2 structure (PBE, the Alexandria database).

a = 4.144 Å, b = 12.228 Å, c = 12.272 Å
α = 90.00°, β = 90.00°, γ = 90.00°
Element x y z (fractional)
La  0.250  0.371  0.056
La  0.750  0.629  0.944
La  0.750  0.871  0.444
La  0.250  0.129  0.556
La  0.250  0.680  0.212
La  0.750  0.320  0.788
La  0.750  0.180  0.288
La  0.250  0.820  0.712
La  0.250  0.431  0.376
La  0.750  0.569  0.624
La  0.750  0.931  0.124
La  0.250  0.069  0.876
Cu  0.250  0.120  0.121
Cu  0.750  0.880  0.879
Cu  0.750  0.620  0.379
Cu  0.250  0.380  0.621
Pt  0.250  0.694  0.495
Pt  0.750  0.306  0.505
Pt  0.750  0.194  0.005
Pt  0.250  0.806  0.995
Pt  0.250  0.007  0.318
Pt  0.750  0.993  0.682
Pt  0.750  0.507  0.182
Pt  0.250  0.493  0.818

Output
As for the space group: Pnma. Its density is 9.30 g/cm3. The uncorrected energy comes out at -6.01 eV/atom. The magnetization is 0.00 μB per formula unit.

# TiFe2Ni9

A geometry-optimized TiFe2Ni9 structure (PBE, the Alexandria database).

a = 3.566 Å, b = 3.566 Å, c = 10.712 Å
α = 90.00°, β = 90.00°, γ = 90.00°
Each line ends with the local moment (μB).
Element x y z (fractional)
Ti  0.000  0.000  0.000  -0.08
Fe  0.000  0.000  0.336  3.00
Fe  0.000  0.000  0.664  3.00
Ni  0.500  0.500  0.000  0.14
Ni  0.500  0.500  0.335  0.62
Ni  0.500  0.500  0.665  0.62
Ni  0.500  0.000  0.171  0.38
Ni  0.500  0.000  0.500  0.72
Ni  0.500  0.000  0.829  0.38
Ni  0.000  0.500  0.171  0.38
Ni  0.000  0.500  0.500  0.72
Ni  0.000  0.500  0.829  0.38

Output
As for the space group: P4/mmm. Its density is 8.38 g/cm3. The uncorrected energy comes out at -6.61 eV/atom. The magnetization is 9.93 μB per formula unit.

# PmNpS2

A geometry-optimized PmNpS2 structure (PBE, the Alexandria database).

a = 3.979 Å, b = 3.979 Å, c = 6.851 Å
α = 73.12°, β = 73.12°, γ = 60.00°
Each line ends with the local moment (μB).
Element x y z (fractional)
Np  0.500  0.500  0.500  3.93
S  0.754  0.754  0.738  -0.06
S  0.246  0.246  0.262  -0.06
Pm  0.000  0.000  0.000  0.02

Output
As for the space group: R-3m. Its density is 8.37 g/cm3. The uncorrected energy comes out at -8.19 eV/atom. The magnetization is 4.26 μB per formula unit. As for the formation energy (no corrections): -6.8 eV/f.u.